The following is a PBE-GGA calculation of a relaxed structure of KInCl, from Alexandria via LeMat-Bulk.

a b c (Å): 7.6315 7.6315 7.6315
angles (deg): 148.92 146.84 46.08
Closest atoms and distances in Å follow each position.
Fractional positions:
K 0.0000 0.0000 0.0000  4 Cl 2.99
In 0.2904 0.2904 0.0000  1 Cl 2.92
Cl 0.4983 0.4983 0.0000  1 In 2.92, 4 K 2.99

Total energy in eV/atom: -2.730
Formation energy from raw total energies in eV per atom: -0.8361
Excess energy over the best structure of this formula in the dataset in meV per atom: 0
Calculated density in kg/m3: 2514
Symmetry: Imm2

---

The following is a PBE-GGA calculation of a relaxed structure of Tb5TmSc4, from Alexandria via LeMat-Bulk.

a b c (Å): 3.4868 3.4868 23.4959
angles (deg): 90.00 90.00 90.00
Closest atoms and distances in Å follow each position.
Fractional positions:
Tb 0.0000 0.0000 0.0000  8 Sc 3.38, 4 Tb 3.49
Tb 0.0000 0.0000 0.1965  8 Sc 3.38, 4 Tb 3.49
Tb 0.0000 0.0000 0.3936  4 Sc 3.38, 4 Tb 3.49, 4 Tm 3.51
Tb 0.0000 0.0000 0.6064  4 Sc 3.38, 4 Tb 3.49, 4 Tm 3.51
Tb 0.0000 0.0000 0.8035  8 Sc 3.38, 4 Tb 3.49
Tm 0.5000 0.5000 0.5000  4 Tm 3.49, 8 Tb 3.51
Sc 0.5000 0.5000 0.0983  8 Tb 3.38, 4 Sc 3.49
Sc 0.5000 0.5000 0.2951  8 Tb 3.38, 4 Sc 3.49
Sc 0.5000 0.5000 0.7049  8 Tb 3.38, 4 Sc 3.49
Sc 0.5000 0.5000 0.9017  8 Tb 3.38, 4 Sc 3.49

Total energy in eV/atom: -5.249
Excess energy over the best structure of this formula in the dataset in meV per atom: 0
Formation energy in eV per atom: 0.05
Calculated density in kg/m3: 6646
Symmetry: P4/mmm

---

The following is a PBE-GGA calculation of a relaxed structure of PmY2Co, from Alexandria via LeMat-Bulk.

a b c (Å): 9.3372 9.3372 9.3372
angles (deg): 23.48 23.48 23.48
Closest atoms and distances in Å follow each position.
Fractional positions:
Pm 0.0000 0.0000 0.0000  6 Y 3.69-3.77, 6 Pm 3.80
Y 0.5541 0.5541 0.5541  3 Co 2.67
Y 0.7755 0.7755 0.7755  3 Co 2.67
Co 0.1648 0.1648 0.1648  6 Y 2.67

Total energy in eV/atom: -6.191
Excess energy over the best structure of this formula in the dataset in meV per atom: 134
Formation energy in eV per atom: 0.01
Calculated density in kg/m3: 5588
Symmetry: R3m

---

The following is a PBE-GGA calculation of a relaxed structure of Dy8Ni18P11, from Alexandria via LeMat-Bulk.

a b c (Å): 18.0013 18.0013 3.8204
angles (deg): 90.00 90.00 120.00
Closest atoms and distances in Å follow each position.
Fractional positions:
Dy 0.0000 0.0000 0.0000  6 P 2.94, 6 Ni 2.96
Dy 0.0014 0.2170 0.0000  6 P 2.91-2.96, 8 Ni 2.94-3.06
Dy 0.0014 0.7844 0.0000  6 P 2.91-2.96, 8 Ni 2.94-3.06
Dy 0.0486 0.5243 0.5000  6 P 2.88-2.94, 10 Ni 2.92-3.07
Dy 0.2156 0.2170 0.0000  6 P 2.91-2.96, 8 Ni 2.94-3.06
Dy 0.2156 0.9986 0.0000  6 P 2.91-2.96, 8 Ni 2.94-3.06
Dy 0.2606 0.5213 0.5000  6 P 2.90-2.96, 8 Ni 2.95-3.07
Dy 0.2606 0.7394 0.5000  6 P 2.90-2.96, 8 Ni 2.95-3.07
Dy 0.4399 0.2200 0.0000  12 Ni 2.88-3.16, 4 P 3.01
Dy 0.4757 0.5243 0.5000  6 P 2.88-2.94, 10 Ni 2.92-3.07
Dy 0.4757 0.9514 0.5000  6 P 2.88-2.94, 10 Ni 2.92-3.07
Dy 0.4787 0.7394 0.5000  6 P 2.90-2.96, 8 Ni 2.95-3.07
Dy 0.7800 0.2200 0.0000  12 Ni 2.88-3.16, 4 P 3.01
Dy 0.7800 0.5601 0.0000  12 Ni 2.88-3.16, 4 P 3.01
Dy 0.7830 0.7844 0.0000  6 P 2.91-2.96, 8 Ni 2.94-3.06
Dy 0.7830 0.9986 0.0000  6 P 2.91-2.96, 8 Ni 2.94-3.06
Ni 0.0726 0.1452 0.5000  3 P 2.22-2.25
Ni 0.0726 0.9274 0.5000  3 P 2.22-2.25
Ni 0.0764 0.3695 0.5000  4 P 2.31-2.33
Ni 0.0764 0.7069 0.5000  4 P 2.31-2.33
Ni 0.1846 0.3693 0.0000  4 P 2.29-2.31
Ni 0.1846 0.8154 0.0000  4 P 2.29-2.31
Ni 0.1900 0.5950 0.0000  3 P 2.22-2.24
Ni 0.2875 0.1437 0.5000  3 P 2.20-2.25
Ni 0.2931 0.3695 0.5000  4 P 2.31-2.33
Ni 0.2931 0.9236 0.5000  4 P 2.31-2.33
Ni 0.3983 0.0273 0.0000  4 P 2.29-2.34
Ni 0.3983 0.3711 0.0000  4 P 2.29-2.34
Ni 0.4050 0.5950 0.0000  3 P 2.22-2.24
Ni 0.4050 0.8101 0.0000  3 P 2.22-2.24
Ni 0.4969 0.1287 0.5000  3 P 2.21-2.34, 1 Ni 2.43
Ni 0.4969 0.3682 0.5000  3 P 2.21-2.34, 1 Ni 2.43
Ni 0.5780 0.2890 0.5000  8 Ni 2.39-2.50
Ni 0.6140 0.2280 0.0000  1 P 2.15
Ni 0.6140 0.3860 0.0000  1 P 2.15
Ni 0.6289 0.0273 0.0000  4 P 2.29-2.34
Ni 0.6289 0.6017 0.0000  4 P 2.29-2.34
Ni 0.6305 0.7069 0.5000  4 P 2.31-2.33
Ni 0.6305 0.9236 0.5000  4 P 2.31-2.33
Ni 0.6307 0.8154 0.0000  4 P 2.29-2.31
Ni 0.6318 0.1287 0.5000  3 P 2.21-2.34, 1 Ni 2.43
Ni 0.6318 0.5031 0.5000  3 P 2.21-2.34, 1 Ni 2.43
Ni 0.7110 0.2890 0.5000  8 Ni 2.39-2.50
Ni 0.7110 0.4220 0.5000  8 Ni 2.39-2.50
Ni 0.7720 0.3860 0.0000  1 P 2.15
Ni 0.8548 0.9274 0.5000  3 P 2.22-2.25
Ni 0.8563 0.1437 0.5000  3 P 2.20-2.25
Ni 0.8563 0.7125 0.5000  3 P 2.20-2.25
Ni 0.8713 0.3682 0.5000  3 P 2.21-2.34, 1 Ni 2.43
Ni 0.8713 0.5031 0.5000  3 P 2.21-2.34, 1 Ni 2.43
Ni 0.9727 0.3711 0.0000  4 P 2.29-2.34
Ni 0.9727 0.6017 0.0000  4 P 2.29-2.34
P 0.1204 0.4529 0.0000  5 Ni 2.22-2.31
P 0.1204 0.6676 0.0000  5 Ni 2.22-2.31
P 0.1431 0.0716 0.5000  3 Ni 2.25
P 0.1439 0.2878 0.5000  5 Ni 2.22-2.33
P 0.1439 0.8561 0.5000  5 Ni 2.22-2.33
P 0.3324 0.4529 0.0000  5 Ni 2.22-2.31
P 0.3324 0.8796 0.0000  5 Ni 2.22-2.31
P 0.3333 0.6667 0.0000  3 Ni 2.24
P 0.3559 0.0713 0.5000  5 Ni 2.20-2.34
P 0.3559 0.2847 0.5000  5 Ni 2.20-2.34
P 0.5450 0.0900 0.0000  7 Ni 2.15-2.34
P 0.5450 0.4550 0.0000  7 Ni 2.15-2.34
P 0.5471 0.6676 0.0000  5 Ni 2.22-2.31
P 0.5471 0.8796 0.0000  5 Ni 2.22-2.31
P 0.7122 0.8561 0.5000  5 Ni 2.22-2.33
P 0.7153 0.0713 0.5000  5 Ni 2.20-2.34
P 0.7153 0.6441 0.5000  5 Ni 2.20-2.34
P 0.9100 0.4550 0.0000  7 Ni 2.15-2.34
P 0.9284 0.0716 0.5000  3 Ni 2.25
P 0.9284 0.8569 0.5000  3 Ni 2.25
P 0.9287 0.2847 0.5000  5 Ni 2.20-2.34
P 0.9287 0.6441 0.5000  5 Ni 2.20-2.34

Total energy in eV/atom: -6.401
Formation energy in eV per atom: -0.98
Calculated density in kg/m3: 8355
Symmetry: P-6m2